Run a
## TaCo2Rh (PBE)

Data for crystalline TaCo2Rh at its relaxed geometry.

Calculated values
The value obtained for the density of states at the Fermi level is 10.904 states/eV/cell.

a = 3.642 Å, b = 3.642 Å, c = 9.186 Å
α = 78.57°, β = 78.57°, γ = 90.00°
Each line ends with the local moment (μB).
Atoms (fractional coordinates):
1 Co 0.375 0.395 0.750  1.19
2 Co 0.875 0.855 0.750  1.17
3 Co 0.145 0.625 0.250  1.14
4 Co 0.605 0.125 0.250  1.16
5 Ta 0.000 0.000 0.000  -0.14
6 Ta 0.750 0.250 0.500  -0.15
7 Rh 0.250 0.750 0.500  0.08
8 Rh 0.500 0.500 0.000  0.08



Run b
## TaCo2Rh (PBE)

Data for crystalline TaCo2Rh at its relaxed geometry.

Calculated values
The value obtained for the density of states at the Fermi level is 5.120 states/eV/cell.

a = 2.748 Å, b = 2.748 Å, c = 7.172 Å
α = 90.00°, β = 90.00°, γ = 90.04°
Each line ends with the local moment (μB).
Atoms (fractional coordinates):
1 Ta 0.500 0.500 0.750  -0.02
2 Rh 0.500 0.500 0.250  0.73
3 Co 0.000 0.000 0.488  1.27
4 Co 0.000 0.000 0.012  1.27



Stability, highest: run b



Run a
## ReMoPt2 (PBE)

Data for crystalline ReMoPt2 at its relaxed geometry.

Calculated values
The value obtained for the density of states at the Fermi level is 4.365 states/eV/cell.

a = 4.829 Å, b = 4.829 Å, c = 2.695 Å
α = 90.00°, β = 90.00°, γ = 90.00°
Atoms (fractional coordinates):
1 Re 0.500 0.000 0.500
2 Pt 0.500 0.500 0.000
3 Pt 0.000 0.000 0.000
4 Mo 0.000 0.500 0.500



Run b
## ReMoPt2 (PBE)

Data for crystalline ReMoPt2 at its relaxed geometry.

Calculated values
The value obtained for the density of states at the Fermi level is 3.135 states/eV/cell.

a = 4.839 Å, b = 4.839 Å, c = 4.923 Å
α = 81.81°, β = 81.81°, γ = 32.59°
Atoms (fractional coordinates):
1 Pt 0.005 0.005 0.993
2 Pt 0.244 0.244 0.260
3 Mo 0.751 0.751 0.753
4 Re 0.500 0.500 0.493



Stability, highest: run b



Run a
## LaReAu2 (PBE)

Data for crystalline LaReAu2 at its relaxed geometry.

Calculated values
The value obtained for the density of states at the Fermi level is 3.834 states/eV/cell.

a = 5.445 Å, b = 5.445 Å, c = 5.446 Å
α = 133.58°, β = 133.58°, γ = 67.73°
Each line ends with the local moment (μB).
Atoms (fractional coordinates):
1 Au 0.000 0.000 0.000  0.01
2 Au 0.250 0.750 0.500  0.01
3 La 0.500 0.500 0.000  0.04
4 Re 0.750 0.250 0.500  1.37



Run b
## LaReAu2 (PBE)

Data for crystalline LaReAu2 at its relaxed geometry.

Calculated values
The value obtained for the density of states at the Fermi level is 4.043 states/eV/cell.

a = 3.046 Å, b = 3.046 Å, c = 8.566 Å
α = 90.00°, β = 90.00°, γ = 90.01°
Atoms (fractional coordinates):
1 La 0.500 0.500 0.250
2 Au 0.000 0.000 0.963
3 Au 0.000 0.000 0.537
4 Re 0.500 0.500 0.750



Stability, highest: run a



Run a
## In2MoRh (PBE)

Data for crystalline In2MoRh at its relaxed geometry.

Calculated values
The value obtained for the density of states at the Fermi level is 2.457 states/eV/cell.

a = 9.211 Å, b = 9.211 Å, c = 9.211 Å
α = 18.99°, β = 18.99°, γ = 18.99°
Atoms (fractional coordinates):
1 Rh 0.250 0.250 0.250
2 Mo 0.750 0.750 0.750
3 In 0.996 0.996 0.996
4 In 0.504 0.504 0.504



Run b
## In2MoRh (PBE)

Data for crystalline In2MoRh at its relaxed geometry.

Calculated values
The value obtained for the density of states at the Fermi level is 3.051 states/eV/cell.

a = 5.344 Å, b = 5.344 Å, c = 2.910 Å
α = 78.94°, β = 78.94°, γ = 111.79°
Atoms (fractional coordinates):
1 Mo 0.500 0.000 0.500
2 In 0.000 0.000 0.000
3 In 0.500 0.500 0.000
4 Rh 0.000 0.500 0.500



Stability, highest: run a



Run a
## B5C3 (PBE)

Data for crystalline B5C3 at its relaxed geometry.

Calculated values
The value obtained for the density of states at the Fermi level is 2.033 states/eV/cell.

a = 2.724 Å, b = 2.724 Å, c = 7.747 Å
α = 90.00°, β = 90.00°, γ = 90.00°
Atoms (fractional coordinates):
1 B 0.000 0.000 0.035
2 B 0.000 0.000 0.492
3 B 0.500 0.500 0.258
4 B 0.500 0.000 0.875
5 B 0.500 0.500 0.715
6 C 0.500 0.000 0.375
7 C 0.000 0.500 0.130
8 C 0.000 0.500 0.620



Run b
## B5C3 (PBE)

Data for crystalline B5C3 at its relaxed geometry.

Calculated values
The value obtained for the density of states at the Fermi level is 1.095 states/eV/cell.

a = 2.562 Å, b = 2.369 Å, c = 9.078 Å
α = 90.00°, β = 90.00°, γ = 90.00°
Atoms (fractional coordinates):
1 B 0.500 0.500 0.742
2 B 0.500 0.000 0.895
3 B 0.500 0.000 0.372
4 B 0.500 0.500 0.220
5 B 0.000 0.000 0.515
6 C 0.000 0.500 0.106
7 C 0.000 0.000 0.012
8 C 0.000 0.500 0.639



Stability, highest: run b



Run a
## TiB3N (PBE)

Data for crystalline TiB3N at its relaxed geometry.

Calculated values
The value obtained for the density of states at the Fermi level is 2.867 states/eV/cell.

a = 3.490 Å, b = 3.490 Å, c = 3.490 Å
α = 90.00°, β = 90.00°, γ = 90.00°
Atoms (fractional coordinates):
1 B 0.000 0.000 0.500
2 B 0.000 0.500 0.000
3 B 0.500 0.000 0.000
4 N 0.000 0.000 0.000
5 Ti 0.500 0.500 0.500



Run b
## TiB3N (PBE)

Data for crystalline TiB3N at its relaxed geometry.

Calculated values
The value obtained for the density of states at the Fermi level is 3.546 states/eV/cell.

a = 4.280 Å, b = 4.280 Å, c = 4.280 Å
α = 90.00°, β = 90.00°, γ = 90.00°
Each line ends with the local moment (μB).
Atoms (fractional coordinates):
1 Ti 0.000 0.000 0.000  -0.31
2 B 0.000 0.000 0.500  -0.10
3 B 0.500 0.000 0.000  -0.08
4 B 0.000 0.500 0.000  -0.09
5 N 0.500 0.500 0.500  1.36



Stability, highest: run a



Run a
## BC2 (PBE)

Data for crystalline BC2 at its relaxed geometry.

Calculated values
The value obtained for the density of states at the Fermi level is 2.518 states/eV/cell.

a = 4.610 Å, b = 4.610 Å, c = 7.704 Å
α = 115.62°, β = 115.62°, γ = 31.53°
Atoms (fractional coordinates):
1 C 0.160 0.160 0.694
2 C 0.985 0.985 0.987
3 C 0.844 0.844 0.539
4 C 0.495 0.495 0.376
5 C 0.344 0.344 0.165
6 C 0.842 0.842 0.050
7 C 0.508 0.508 0.898
8 C 0.997 0.997 0.498
9 B 0.666 0.666 0.352
10 B 0.324 0.324 0.659
11 B 0.662 0.662 0.840
12 B 0.173 0.173 0.190



Run b
## BC2 (PBE)

Data for crystalline BC2 at its relaxed geometry.

Calculated values
The value obtained for the density of states at the Fermi level is 1.095 states/eV/cell.

a = 6.895 Å, b = 6.981 Å, c = 6.981 Å
α = 158.17°, β = 141.61°, γ = 44.66°
Atoms (fractional coordinates):
1 C 0.146 0.463 0.683
2 C 0.620 0.959 0.661
3 C 0.493 0.838 0.655
4 C 0.629 0.624 0.005
5 C 0.508 0.501 0.007
6 C 0.114 0.787 0.328
7 C 0.991 0.668 0.323
8 C 0.508 0.161 0.347
9 B 0.569 0.284 0.285
10 B 0.033 0.340 0.693
11 B 0.989 0.979 0.010
12 B 0.149 0.146 0.003



Stability, highest: run b



Run a
## Y2Be (PBE)

Data for crystalline Y2Be at its relaxed geometry.

Calculated values
The value obtained for the density of states at the Fermi level is 5.819 states/eV/cell.

a = 5.802 Å, b = 5.802 Å, c = 5.802 Å
α = 107.60°, β = 107.60°, γ = 113.28°
Each line ends with the local moment (μB).
Atoms (fractional coordinates):
1 Be 0.750 0.750 0.000  -0.01
2 Be 0.250 0.250 0.000  -0.01
3 Y 0.179 0.321 0.500  0.22
4 Y 0.821 0.679 0.500  0.22
5 Y 0.679 0.179 0.858  0.22
6 Y 0.321 0.821 0.142  0.22



Run b
## Y2Be (PBE)

Data for crystalline Y2Be at its relaxed geometry.

Calculated values
The value obtained for the density of states at the Fermi level is 3.935 states/eV/cell.

a = 4.940 Å, b = 4.940 Å, c = 6.801 Å
α = 90.00°, β = 90.00°, γ = 120.00°
Atoms (fractional coordinates):
1 Y 0.000 0.000 0.500
2 Y 0.000 0.000 0.000
3 Y 0.667 0.333 0.250
4 Y 0.333 0.667 0.750
5 Be 0.667 0.333 0.750
6 Be 0.333 0.667 0.250



Stability, highest: run a



Run a
## TcOs (PBE)

Data for crystalline TcOs at its relaxed geometry.

Calculated values
The value obtained for the density of states at the Fermi level is 2.862 states/eV/cell.

a = 4.361 Å, b = 2.757 Å, c = 4.787 Å
α = 90.00°, β = 90.00°, γ = 90.00°
Atoms (fractional coordinates):
1 Tc 0.250 0.000 0.833
2 Tc 0.750 0.000 0.167
3 Os 0.250 0.500 0.333
4 Os 0.750 0.500 0.667



Run b
## TcOs (PBE)

Data for crystalline TcOs at its relaxed geometry.

Calculated values
The value obtained for the density of states at the Fermi level is 4.735 states/eV/cell.

a = 4.783 Å, b = 4.353 Å, c = 5.531 Å
α = 90.00°, β = 90.00°, γ = 90.00°
Atoms (fractional coordinates):
1 Tc 0.084 0.250 0.623
2 Tc 0.416 0.750 0.123
3 Tc 0.916 0.750 0.377
4 Tc 0.584 0.250 0.877
5 Os 0.082 0.250 0.126
6 Os 0.582 0.250 0.374
7 Os 0.418 0.750 0.626
8 Os 0.918 0.750 0.874



Stability, highest: run a